(1)
# Zr2AlAg (meta-GGA SCAN, single point on PBEsol structure)
data_Zr2AlAg
_chemical_formula_sum 'Zr2 Al1 Ag1'
_space_group_name_H-M_alt 'P 1'
_space_group_IT_number 1
_cell_length_a 3.148
_cell_length_b 4.970
_cell_length_c 5.683
_cell_angle_alpha 115.93
_cell_angle_beta 106.08
_cell_angle_gamma 90.00
loop_
_space_group_symop_operation_xyz
'x,y,z'
loop_
_atom_site_label
_atom_site_fract_x
_atom_site_fract_y
_atom_site_fract_z
Zr1 0.993 0.993 0.986
Al1 0.231 0.731 0.462
Ag1 0.518 0.518 0.036
Zr2 0.758 0.258 0.516
# Space group: No. 44
# E_tot (eV per atom): -25.395
# E_form (meV/atom): -266
# V (Å³/atom): 19.02
# D(E_F) (states/eV per cell): 3.1



(2)
# ZrAl2Ag (meta-GGA SCAN, single point on PBEsol structure)
data_ZrAl2Ag
_chemical_formula_sum 'Zr1 Al2 Ag1'
_space_group_name_H-M_alt 'P 1'
_space_group_IT_number 1
_cell_length_a 3.947
_cell_length_b 4.183
_cell_length_c 4.183
_cell_angle_alpha 90.00
_cell_angle_beta 90.00
_cell_angle_gamma 90.00
loop_
_space_group_symop_operation_xyz
'x,y,z'
loop_
_atom_site_label
_atom_site_fract_x
_atom_site_fract_y
_atom_site_fract_z
Al1 0.000 0.000 0.500
Ag1 0.500 0.000 0.000
Al2 0.000 0.500 0.000
Zr1 0.500 0.500 0.500
# Space group: No. 123
# E_tot (eV per atom): -19.822
# E_form (meV/atom): -430
# V (Å³/atom): 17.26
# D(E_F) (states/eV per cell): 1.6



(3)
# Zr2AlAg (meta-GGA SCAN, single point on PBEsol structure)
data_Zr2AlAg
_chemical_formula_sum 'Zr2 Al1 Ag1'
_space_group_name_H-M_alt 'P 1'
_space_group_IT_number 1
_cell_length_a 3.094
_cell_length_b 3.094
_cell_length_c 9.631
_cell_angle_alpha 80.76
_cell_angle_beta 80.76
_cell_angle_gamma 60.00
loop_
_space_group_symop_operation_xyz
'x,y,z'
loop_
_atom_site_label
_atom_site_fract_x
_atom_site_fract_y
_atom_site_fract_z
Zr1 0.997 0.997 0.009
Zr2 0.752 0.752 0.743
Al1 0.246 0.246 0.263
Ag1 0.505 0.505 0.485
# Space group: No. 160
# E_tot (eV per atom): -25.159
# E_form (meV/atom): -29
# V (Å³/atom): 19.62
# D(E_F) (states/eV per cell): 2.3



(4)
# Zr2AlAg (meta-GGA SCAN, single point on PBEsol structure)
data_Zr2AlAg
_chemical_formula_sum 'Zr2 Al1 Ag1'
_space_group_name_H-M_alt 'P 1'
_space_group_IT_number 1
_cell_length_a 4.788
_cell_length_b 4.788
_cell_length_c 4.788
_cell_angle_alpha 60.00
_cell_angle_beta 60.00
_cell_angle_gamma 60.00
loop_
_space_group_symop_operation_xyz
'x,y,z'
loop_
_atom_site_label
_atom_site_fract_x
_atom_site_fract_y
_atom_site_fract_z
Ag1 0.500 0.500 0.500
Zr1 0.000 0.000 0.000
Zr2 0.750 0.750 0.750
Al1 0.250 0.250 0.250
# Space group: No. 216
# E_tot (eV per atom): -25.111
# E_form (meV/atom): 18
# V (Å³/atom): 19.41
# D(E_F) (states/eV per cell): 2.0



(5)
# Zr2AlAg (meta-GGA SCAN, single point on PBEsol structure)
data_Zr2AlAg
_chemical_formula_sum 'Zr2 Al1 Ag1'
_space_group_name_H-M_alt 'P 1'
_space_group_IT_number 1
_cell_length_a 3.148
_cell_length_b 4.189
_cell_length_c 5.714
_cell_angle_alpha 90.00
_cell_angle_beta 90.00
_cell_angle_gamma 90.00
loop_
_space_group_symop_operation_xyz
'x,y,z'
loop_
_atom_site_label
_atom_site_fract_x
_atom_site_fract_y
_atom_site_fract_z
Ag1 0.500 0.500 0.000
Al1 0.500 0.500 0.500
Zr1 0.000 0.000 0.252
Zr2 0.000 0.000 0.748
# Space group: No. 47
# E_tot (eV per atom): -25.406
# E_form (meV/atom): -277
# V (Å³/atom): 18.84
# D(E_F) (states/eV per cell): 3.1



(6)
# ZrAlAg3 (meta-GGA SCAN, single point on PBEsol structure)
data_ZrAlAg3
_chemical_formula_sum 'Zr1 Al1 Ag3'
_space_group_name_H-M_alt 'P 1'
_space_group_IT_number 1
_cell_length_a 4.647
_cell_length_b 4.647
_cell_length_c 4.647
_cell_angle_alpha 90.00
_cell_angle_beta 90.00
_cell_angle_gamma 90.00
loop_
_space_group_symop_operation_xyz
'x,y,z'
loop_
_atom_site_label
_atom_site_fract_x
_atom_site_fract_y
_atom_site_fract_z
Zr1 0.500 0.500 0.500
Ag1 0.500 0.000 0.000
Ag2 0.000 0.500 0.000
Al1 0.000 0.000 0.000
Ag3 0.000 0.000 0.500
# Space group: No. 221
# E_tot (eV per atom): -26.064
# E_form (meV/atom): 446
# V (Å³/atom): 20.07
# D(E_F) (states/eV per cell): 2.8



(7)
# ZrAl2Ag (meta-GGA SCAN, single point on PBEsol structure)
data_ZrAl2Ag
_chemical_formula_sum 'Zr1 Al2 Ag1'
_space_group_name_H-M_alt 'P 1'
_space_group_IT_number 1
_cell_length_a 4.634
_cell_length_b 4.634
_cell_length_c 4.634
_cell_angle_alpha 60.00
_cell_angle_beta 60.00
_cell_angle_gamma 60.00
loop_
_space_group_symop_operation_xyz
'x,y,z'
loop_
_atom_site_label
_atom_site_fract_x
_atom_site_fract_y
_atom_site_fract_z
Al1 0.000 0.000 0.000
Zr1 0.500 0.500 0.500
Ag1 0.750 0.750 0.750
Al2 0.250 0.250 0.250
# Space group: No. 216
# E_tot (eV per atom): -19.475
# E_form (meV/atom): -83
# V (Å³/atom): 17.59
# D(E_F) (states/eV per cell): 2.7



(8)
# Zr2AlAg (meta-GGA SCAN, single point on PBEsol structure)
data_Zr2AlAg
_chemical_formula_sum 'Zr2 Al1 Ag1'
_space_group_name_H-M_alt 'P 1'
_space_group_IT_number 1
_cell_length_a 3.159
_cell_length_b 5.036
_cell_length_c 5.036
_cell_angle_alpha 109.09
_cell_angle_beta 90.00
_cell_angle_gamma 90.00
loop_
_space_group_symop_operation_xyz
'x,y,z'
loop_
_atom_site_label
_atom_site_fract_x
_atom_site_fract_y
_atom_site_fract_z
Zr1 0.000 0.000 0.500
Ag1 0.500 0.000 0.000
Zr2 0.000 0.500 0.000
Al1 0.500 0.500 0.500
# Space group: No. 65
# E_tot (eV per atom): -25.409
# E_form (meV/atom): -280
# V (Å³/atom): 18.93
# D(E_F) (states/eV per cell): 3.2



Question: E_form of number 6 (ZrAlAg3)?
Answer: 446 meV/atom



Question: What is the formula in the fourth record?
Answer: Zr2AlAg



Question: Which formula does entry 1 have?
Answer: Zr2AlAg



Question: Look up the V of the fourth one.
Answer: 19.41 Å³/atom